VASP calculation (PBEsol) on a relaxed Sr3NbIn crystal.

Cell and atoms, written as POSCAR:
```
Sr3NbIn
1.0
6.132 0.000 0.000
0.000 6.132 0.000
0.000 0.000 6.132
Sr Nb In
3 1 1
Direct
0.000 0.000 0.500
0.000 0.500 0.000
0.500 0.000 0.000
0.500 0.500 0.500
0.000 0.000 0.000
```

Output
* DFT formation energy: 0.93 eV per atom

***

VASP calculation (PBEsol) on a relaxed Fe2Rh3 crystal.

Cell and atoms, written as POSCAR:
```
Fe2Rh3
1.0
4.334 -1.321 0.000
4.334 1.321 0.000
-3.262 0.000 5.473
Fe Rh
2 3
Direct
0.105 0.105 0.403
0.895 0.895 0.597
0.307 0.307 0.214
0.500 0.500 0.000
0.693 0.693 0.786
```

Output
* DFT formation energy: 0.03 eV per atom

***

VASP calculation (PBEsol) on a relaxed BaCd2IrAu crystal.

Cell and atoms, written as POSCAR:
```
BaCd2IrAu
1.0
5.075 0.000 0.000
0.000 5.075 0.000
0.000 0.000 5.248
Ba Cd Ir Au
1 2 1 1
Direct
0.000 0.000 0.000
0.000 0.500 0.500
0.500 0.000 0.500
0.500 0.500 0.000
0.500 0.500 0.500
```

Output
* DFT formation energy: 0.34 eV per atom

***

VASP calculation (PBEsol) on a relaxed Si2RhCl crystal.

Cell and atoms, written as POSCAR:
```
Si2RhCl
1.0
3.524 0.000 0.000
0.000 3.524 0.000
0.000 0.000 4.863
Si Rh Cl
2 1 1
Direct
0.000 0.500 0.000
0.500 0.000 0.000
0.000 0.000 0.500
0.500 0.500 0.500
```

Output
* raw formation energy: 384 meV per atom